Entry 1:
Material: Hg2Sb
Method: DFT, GGA-PBEsol
State: relaxed

## Properties
Density of states at the Fermi level ... 4.4 states/eV per cell
Energy relative to the lowest polymorph listed for this composition ... 0.038 eV per atom
V ... 28.06 A^3/atom
Formation energy from raw total energies ... 9.3 kJ per mole of atoms

a b c (Å): 6.957 6.957 6.957
angles (deg): 90.00 90.00 90.00
Atoms (fractional coordinates):
Hg 0.124 0.876 0.376
Hg 0.876 0.376 0.124
Sb 0.500 0.000 0.500
Hg 0.876 0.124 0.624
Hg 0.124 0.624 0.876
Sb 0.000 0.000 0.000
Hg 0.376 0.376 0.376
Sb 0.500 0.500 0.000
Hg 0.624 0.624 0.624
Sb 0.000 0.500 0.500
Hg 0.376 0.124 0.876
Hg 0.624 0.876 0.124

=====

Entry 2:
Material: LiTlRh2
Method: DFT, GGA-PBEsol
State: relaxed

## Properties
Density of states at the Fermi level ... 3.0 states/eV per cell
V ... 15.36 A^3/atom
Formation energy ... 0.06 eV/atom

a b c (Å): 2.825 4.811 5.286
angles (deg): 116.24 104.19 92.77
Atoms (fractional coordinates):
Li 0.500 0.000 0.000
Tl 0.000 0.500 0.000
Rh 0.500 0.500 0.500
Rh 0.000 0.000 0.500

=====

Summary of final energy in eV per cell
-21.61 -20.65
(order as listed above)